[1]
## Rb2BaPuI6 (PBE)

Data for a relaxed Rb2BaPuI6 crystal.

total moment: 12.000 Bohr magnetons per cell
E_form (uncorrected): -1.42 eV per atom
ρ: 4.33 g/cm³
E_tot: -4.167 eV/atom

Cell lengths 8.6565, 9.2559, 15.1883 Å; angles 90.00, 124.04, 90.00 degrees
Closest atoms and distances in Å follow each position.
Fractional coordinates of all 20 atoms:
Rb: 0.2153 0.0845 0.2474  6 I 3.73-3.95
Rb: 0.2153 0.4155 0.7474  6 I 3.73-3.95
Rb: 0.7847 0.5845 0.2526  6 I 3.73-3.95
Rb: 0.7847 0.9155 0.7526  6 I 3.73-3.95
Ba: 0.5000 0.0000 0.0000  6 I 3.46
Ba: 0.5000 0.5000 0.5000  6 I 3.46
Pu: 0.0000 0.0000 0.5000  6 I 3.23-3.24
Pu: 0.0000 0.5000 0.0000  6 I 3.23-3.24
I: 0.1155 0.2040 0.9367  1 Pu 3.24, 1 Ba 3.46
I: 0.1155 0.2960 0.4367  1 Pu 3.24, 1 Ba 3.46
I: 0.2390 0.6877 0.9374  1 Pu 3.23, 1 Ba 3.46
I: 0.2390 0.8123 0.4374  1 Pu 3.23, 1 Ba 3.46
I: 0.3629 0.0400 0.7396  1 Pu 3.23, 1 Ba 3.46
I: 0.3629 0.4600 0.2396  1 Pu 3.23, 1 Ba 3.46
I: 0.6371 0.5400 0.7604  1 Pu 3.23, 1 Ba 3.46
I: 0.6371 0.9600 0.2604  1 Pu 3.23, 1 Ba 3.46
I: 0.7610 0.1877 0.5626  1 Pu 3.23, 1 Ba 3.46
I: 0.7610 0.3123 0.0626  1 Pu 3.23, 1 Ba 3.46
I: 0.8845 0.7040 0.5633  1 Pu 3.24, 1 Ba 3.46
I: 0.8845 0.7960 0.0633  1 Pu 3.24, 1 Ba 3.46

---

[2]
## RbBa2PuI8 (PBE)

Data for a relaxed RbBa2PuI8 crystal.

total moment: 5.000 Bohr magnetons per cell
E_form (uncorrected): -1.46 eV per atom
ρ: 4.14 g/cm³
E_tot: -4.087 eV/atom

Cell lengths 7.7727, 7.9511, 10.5007 Å; angles 90.01, 90.04, 90.15 degrees
Closest atoms and distances in Å follow each position.
Fractional coordinates of all 12 atoms:
Rb: 0.0000 0.0000 0.0000  6 I 3.57-3.75
Ba: 0.5002 0.5000 0.2515  6 I 3.40-3.58
Ba: 0.4998 0.5000 0.7485  6 I 3.40-3.58
Pu: 0.0000 0.0000 0.5000  6 I 3.10-3.18
I: 0.2362 0.8528 0.2904  1 Pu 3.10
I: 0.2368 0.8535 0.7098  1 Pu 3.10
I: 0.2399 0.3241 0.4997  1 Pu 3.18
I: 0.2567 0.3724 0.0000  2 Ba 3.40, 1 Rb 3.57
I: 0.7433 0.6276 0.0000  2 Ba 3.40, 1 Rb 3.57
I: 0.7601 0.6759 0.5003  1 Pu 3.18
I: 0.7632 0.1465 0.2902  1 Pu 3.10
I: 0.7638 0.1472 0.7096  1 Pu 3.10

---

[3]
## BaSrPuI6 (PBE)

Data for a relaxed BaSrPuI6 crystal.

total moment: 12.000 Bohr magnetons per cell
E_form (uncorrected): -1.46 eV per atom
ρ: 4.54 g/cm³
E_tot: -4.488 eV/atom

Cell lengths 8.2820, 8.2820, 15.1514 Å; angles 90.00, 90.00, 120.00 degrees
Closest atoms and distances in Å follow each position.
Fractional coordinates of all 18 atoms:
Ba: 0.0000 0.0000 0.0000  6 I 3.50
Ba: 0.0000 0.0000 0.5000  6 I 3.50
Sr: 0.3333 0.6667 0.2500  6 I 3.30
Sr: 0.6667 0.3333 0.7500  6 I 3.30
Pu: 0.3333 0.6667 0.7500  6 I 3.23
Pu: 0.6667 0.3333 0.2500  6 I 3.23
I: 0.0066 0.3553 0.6277  1 Pu 3.23, 1 Sr 3.30, 1 Ba 3.50
I: 0.0066 0.6514 0.8723  1 Pu 3.23, 1 Sr 3.30, 1 Ba 3.50
I: 0.3486 0.3553 0.8723  1 Pu 3.23, 1 Sr 3.30, 1 Ba 3.50
I: 0.3486 0.9934 0.6277  1 Pu 3.23, 1 Sr 3.30, 1 Ba 3.50
I: 0.3553 0.0066 0.1277  1 Pu 3.23, 1 Sr 3.30, 1 Ba 3.50
I: 0.3553 0.3486 0.3723  1 Pu 3.23, 1 Sr 3.30, 1 Ba 3.50
I: 0.6447 0.6514 0.6277  1 Pu 3.23, 1 Sr 3.30, 1 Ba 3.50
I: 0.6447 0.9934 0.8723  1 Pu 3.23, 1 Sr 3.30, 1 Ba 3.50
I: 0.6514 0.0066 0.3723  1 Pu 3.23, 1 Sr 3.30, 1 Ba 3.50
I: 0.6514 0.6447 0.1277  1 Pu 3.23, 1 Sr 3.30, 1 Ba 3.50
I: 0.9934 0.3486 0.1277  1 Pu 3.23, 1 Sr 3.30, 1 Ba 3.50
I: 0.9934 0.6447 0.3723  1 Pu 3.23, 1 Sr 3.30, 1 Ba 3.50

---

[4]
## BaPuTl2I6 (PBE)

Data for a relaxed BaPuTl2I6 crystal.

total moment: 12.014 Bohr magnetons per cell
E_form (uncorrected): -1.07 eV per atom
ρ: 5.53 g/cm³
E_tot: -4.100 eV/atom

Cell lengths 8.3341, 9.0927, 14.7082 Å; angles 90.00, 123.21, 90.00 degrees
Closest atoms and distances in Å follow each position.
Fractional coordinates of all 20 atoms:
Ba: 0.0000 0.0000 0.0000  6 I 3.44-3.47
Ba: 0.0000 0.5000 0.5000  6 I 3.44-3.47
Pu: 0.5000 0.0000 0.5000  6 I 3.20-3.23
Pu: 0.5000 0.5000 0.0000  6 I 3.20-3.23
Tl: 0.3006 0.1027 0.7582  6 I 3.56-3.82
Tl: 0.3006 0.3973 0.2582  6 I 3.56-3.82
Tl: 0.6994 0.6027 0.7418  6 I 3.56-3.82
Tl: 0.6994 0.8973 0.2418  6 I 3.56-3.82
I: 0.1124 0.0474 0.2627  1 Pu 3.23, 1 Ba 3.47, 2 Tl 3.56
I: 0.1124 0.4526 0.7627  1 Pu 3.23, 1 Ba 3.47, 2 Tl 3.56
I: 0.2582 0.6761 0.0742  1 Pu 3.20, 1 Ba 3.45
I: 0.2582 0.8239 0.5742  1 Pu 3.20, 1 Ba 3.45
I: 0.4079 0.1931 0.0702  1 Pu 3.21, 1 Ba 3.44, 1 Tl 3.58
I: 0.4079 0.3069 0.5702  1 Pu 3.21, 1 Ba 3.44, 1 Tl 3.58
I: 0.5921 0.6931 0.4298  1 Pu 3.21, 1 Ba 3.44, 1 Tl 3.58
I: 0.5921 0.8069 0.9298  1 Pu 3.21, 1 Ba 3.44, 1 Tl 3.58
I: 0.7418 0.1761 0.4258  1 Pu 3.20, 1 Ba 3.45
I: 0.7418 0.3239 0.9258  1 Pu 3.20, 1 Ba 3.45
I: 0.8876 0.5474 0.2373  1 Pu 3.23, 1 Ba 3.47, 2 Tl 3.56
I: 0.8876 0.9526 0.7373  1 Pu 3.23, 1 Ba 3.47, 2 Tl 3.56

---

[5]
## RbBaI2 (PBE)

Data for a relaxed RbBaI2 crystal.

total moment: 0.597 Bohr magnetons per cell
E_form (uncorrected): -1.34 eV per atom
offset from the most stable computed form: 0 meV/atom
ρ: 4.20 g/cm³
E_tot: -2.839 eV/atom

Cell lengths 10.0587, 10.0587, 10.0587 Å; angles 27.27, 27.27, 27.27 degrees
Closest atoms and distances in Å follow each position.
Fractional coordinates of all 4 atoms:
Rb: 0.0000 0.0000 0.0000  6 I 3.67
Ba: 0.5000 0.5000 0.5000  6 I 3.64
I: 0.2490 0.2490 0.2490  3 Ba 3.64, 3 Rb 3.67
I: 0.7510 0.7510 0.7510  3 Ba 3.64, 3 Rb 3.67

---

[6]
## RbBa3I7 (PBE)

Data for a relaxed RbBa3I7 crystal.

total moment: 0.000 Bohr magnetons per cell
E_form (uncorrected): -1.70 eV per atom
ρ: 3.93 g/cm³
E_tot: -3.301 eV/atom

Cell lengths 8.4841, 8.4841, 8.9971 Å; angles 106.02, 106.02, 96.50 degrees
Closest atoms and distances in Å follow each position.
Fractional coordinates of all 11 atoms:
Rb: 0.0000 0.0000 0.0000  2 I 3.68
Ba: 0.2720 0.7280 0.5000  7 I 3.44-3.64
Ba: 0.5000 0.5000 0.0000  6 I 3.43-3.49
Ba: 0.7280 0.2720 0.5000  7 I 3.44-3.64
I: 0.0000 0.0000 0.5000  2 Ba 3.44
I: 0.1221 0.5562 0.7630  3 Ba 3.49-3.64
I: 0.3506 0.3506 0.2625  3 Ba 3.43-3.57, 1 Rb 3.68
I: 0.4438 0.8779 0.2370  3 Ba 3.49-3.64
I: 0.5562 0.1221 0.7630  3 Ba 3.49-3.64
I: 0.6494 0.6494 0.7375  3 Ba 3.43-3.57, 1 Rb 3.68
I: 0.8779 0.4438 0.2370  3 Ba 3.49-3.64